VASP calculation (PBE) on InGaBi2 after structural relaxation.

Cell and atoms, written as POSCAR:
```
InGaBi2
1.0
0.000 3.826 3.826
3.826 0.000 3.826
3.826 3.826 0.000
In Ga Bi
1 1 2
direct
0.000 0.000 0.000
0.500 0.500 0.500
0.250 0.250 0.250
0.750 0.750 0.750
```

Properties
SG: Fm-3m (225)
theoretical density: 8.93 g/cm3
relative energy among the computed polymorphs: 84 meV/atom
magnetic moment: 0.00 μB/cell
energy relative to the elements: 103 meV/atom
Fermi-level density of states: 2.99 states/eV per cell